Entry 1:
The following is a DFT calculation (GGA-PBE) of crystalline CsBeBi at its relaxed geometry.

Cell and atoms, written as CIF:
```
data_CsBeBi
_symmetry_space_group_name_H-M 'P -1'
_symmetry_Int_Tables_number 2
_cell_length_a 4.226
_cell_length_b 7.184
_cell_length_c 7.941
_cell_angle_alpha 105.13
_cell_angle_beta 105.35
_cell_angle_gamma 90.15
loop_
_symmetry_equiv_pos_as_xyz
'x,y,z'
'-x,-y,-z'
loop_
_atom_site_label
_atom_site_type_symbol
_atom_site_fract_x
_atom_site_fract_y
_atom_site_fract_z
_atom_site_occupancy
Cs1 Cs 0.096 0.302 0.198 1
Be1 Be 0.222 0.934 0.443 1
Bi1 Bi 0.366 0.206 0.733 1
```

Results
- energy relative to the elements (eV/atom) = -0.11
- volume (Å³ per atom) = 37.29

=====

Entry 2:
The following is a DFT calculation (GGA-PBE) of crystalline Nd5HgTe4 at its relaxed geometry.

Cell and atoms, written as CIF:
```
data_Nd5HgTe4
_symmetry_space_group_name_H-M 'I 4/m'
_symmetry_Int_Tables_number 87
_symmetry_space_group_name_Hall '-I 4'
_cell_length_a 10.038
_cell_length_b 10.038
_cell_length_c 6.356
_cell_angle_alpha 90.00
_cell_angle_beta 90.00
_cell_angle_gamma 90.00
loop_
_atom_site_label
_atom_site_type_symbol
_atom_site_fract_x
_atom_site_fract_y
_atom_site_fract_z
_atom_site_occupancy
Nd1 Nd 0.000 0.000 0.000 1
Nd2 Nd 0.100 0.295 0.500 1
Hg1 Hg 0.000 0.000 0.500 1
Te1 Te 0.097 0.302 0.000 1
```

Results
- excess energy over the best structure of this formula in the dataset (eV per atom) = 0.0000
- volume (Å³ per atom) = 32.02
- formation energy without anion corrections (kcal/mol of atoms) = -29.1

=====

Entry 3:
The following is a DFT calculation (GGA-PBE) of crystalline ZnSnP2I at its relaxed geometry.

Cell and atoms, written as CIF:
```
data_ZnSnP2I
_symmetry_space_group_name_H-M 'P 4/m m m'
_symmetry_Int_Tables_number 123
_symmetry_space_group_name_Hall '-P 4 2'
_cell_length_a 5.283
_cell_length_b 5.283
_cell_length_c 5.035
_cell_angle_alpha 90.00
_cell_angle_beta 90.00
_cell_angle_gamma 90.00
loop_
_atom_site_label
_atom_site_type_symbol
_atom_site_fract_x
_atom_site_fract_y
_atom_site_fract_z
_atom_site_occupancy
Zn1 Zn 0.000 0.000 0.000 1
Sn1 Sn 0.500 0.500 0.000 1
P1 P 0.000 0.500 0.500 1
I1 I 0.000 0.000 0.500 1
```

Results
- volume (Å³ per atom) = 28.10
- formation energy without anion corrections (kcal/mol of atoms) = 25.6

=====

Entry 4:
The following is a DFT calculation (GGA-PBE) of crystalline Li3Mg2OsO6 at its relaxed geometry.

Cell and atoms, written as CIF:
```
data_Li3Mg2OsO6
_symmetry_space_group_name_H-M 'C 1 2/m 1'
_symmetry_Int_Tables_number 12
_cell_length_a 5.212
_cell_length_b 9.021
_cell_length_c 5.194
_cell_angle_alpha 90.00
_cell_angle_beta 109.64
_cell_angle_gamma 90.00
loop_
_symmetry_equiv_pos_as_xyz
'x,y,z'
'-x,-y,-z'
'-x,y,-z'
'x,-y,z'
'x+1/2,y+1/2,z'
'-x+1/2,-y+1/2,-z'
'-x+1/2,y+1/2,-z'
'x+1/2,-y+1/2,z'
loop_
_atom_site_label
_atom_site_type_symbol
_atom_site_fract_x
_atom_site_fract_y
_atom_site_fract_z
_atom_site_occupancy
Li1 Li 0.000 0.000 0.000 1
Li2 Li 0.000 0.336 0.000 1
Mg1 Mg 0.000 0.167 0.500 1
Os1 Os 0.000 0.500 0.500 1
O1 O 0.236 0.341 0.731 1
O2 O 0.243 0.500 0.273 1
```

Results
- volume (Å³ per atom) = 9.58
- formation energy without anion corrections (kcal/mol of atoms) = -45.6

=====

Entry 5:
The following is a DFT calculation (GGA-PBE) of crystalline Tl2In3Pd8 at its relaxed geometry.

Cell and atoms, written as CIF:
```
data_Tl2In3Pd8
_symmetry_space_group_name_H-M 'R -3 m'
_symmetry_Int_Tables_number 166
_symmetry_space_group_name_Hall '-R 3 2"'
_cell_length_a 5.4307
_cell_length_b 5.4307
_cell_length_c 29.9366
_cell_angle_alpha 90.00
_cell_angle_beta 90.00
_cell_angle_gamma 120.00
loop_
_atom_site_label
_atom_site_type_symbol
_atom_site_fract_x
_atom_site_fract_y
_atom_site_fract_z
_atom_site_occupancy
Tl1 Tl 0.0000 0.0000 0.1331 1
In1 In 0.0000 0.0000 0.3122 1
In2 In 0.0000 0.0000 0.5000 1
Pd1 Pd 0.0000 0.0000 0.2238 1
Pd2 Pd 0.0017 0.5009 0.2771 1
```

Results
- energy relative to the elements (eV/atom) = -0.15
- volume (Å³ per atom) = 19.61

=====

Entry 6:
The following is a DFT calculation (GGA-PBE) of crystalline La2ZnCdRu at its relaxed geometry.

Cell and atoms, written as CIF:
```
data_La2ZnCdRu
_symmetry_space_group_name_H-M 'P 1 21/m 1'
_symmetry_Int_Tables_number 11
_cell_length_a 7.655
_cell_length_b 4.324
_cell_length_c 8.136
_cell_angle_alpha 90.00
_cell_angle_beta 106.22
_cell_angle_gamma 90.00
loop_
_symmetry_equiv_pos_as_xyz
'x,y,z'
'-x,-y,-z'
'-x,y+1/2,-z'
'x,-y+1/2,z'
loop_
_atom_site_label
_atom_site_type_symbol
_atom_site_fract_x
_atom_site_fract_y
_atom_site_fract_z
_atom_site_occupancy
La1 La 0.126 0.250 0.340 1
La2 La 0.267 0.250 0.953 1
Zn1 Zn 0.439 0.750 0.318 1
Cd1 Cd 0.336 0.750 0.651 1
Ru1 Ru 0.129 0.750 0.098 1
```

Results
- energy relative to the elements (eV/atom) = -0.31
- excess energy over the best structure of this formula in the dataset (eV per atom) = 0.0000
- volume (Å³ per atom) = 25.85

=====

Entry 7:
The following is a DFT calculation (GGA-PBE) of crystalline Ac2PmCuO5 at its relaxed geometry.

Cell and atoms, written as CIF:
```
data_Ac2PmCuO5
_symmetry_space_group_name_H-M 'P 4/m b m'
_symmetry_Int_Tables_number 127
_symmetry_space_group_name_Hall '-P 4 2ab'
_cell_length_a 6.880
_cell_length_b 6.880
_cell_length_c 5.970
_cell_angle_alpha 90.00
_cell_angle_beta 90.00
_cell_angle_gamma 90.00
loop_
_atom_site_label
_atom_site_type_symbol
_atom_site_fract_x
_atom_site_fract_y
_atom_site_fract_z
_atom_site_occupancy
Ac1 Ac 0.164 0.336 0.000 1
Pm1 Pm 0.000 0.000 0.500 1
Cu1 Cu 0.000 0.500 0.500 1
O1 O 0.000 0.000 0.000 1
O2 O 0.162 0.662 0.275 1
```

Results
- volume (Å³ per atom) = 15.70
- formation energy without anion corrections (kcal/mol of atoms) = -55.4

=====

Entry 8:
The following is a DFT calculation (GGA-PBE) of crystalline Li3Ac2SbPd12 at its relaxed geometry.

Cell and atoms, written as CIF:
```
data_Li3Ac2SbPd12
_symmetry_space_group_name_H-M 'R -3 m'
_symmetry_Int_Tables_number 166
_symmetry_space_group_name_Hall '-R 3 2"'
_cell_length_a 6.4552
_cell_length_b 6.4552
_cell_length_c 29.0600
_cell_angle_alpha 90.00
_cell_angle_beta 90.00
_cell_angle_gamma 120.00
loop_
_atom_site_label
_atom_site_type_symbol
_atom_site_fract_x
_atom_site_fract_y
_atom_site_fract_z
_atom_site_occupancy
Li1 Li 0.0000 0.5000 0.0000 1
Ac1 Ac 0.0000 0.0000 0.1318 1
Sb1 Sb 0.0000 0.0000 0.5000 1
Pd1 Pd 0.0359 0.5180 0.8910 1
Pd2 Pd 0.0535 0.5267 0.6239 1
```

Results
- volume (Å³ per atom) = 19.42
- formation energy without anion corrections (kcal/mol of atoms) = -8.5

=====

Entry 9:
The following is a DFT calculation (GGA-PBE) of crystalline Hf2BSbRu at its relaxed geometry.

Cell and atoms, written as CIF:
```
data_Hf2BSbRu
_symmetry_space_group_name_H-M 'P 4/m m m'
_symmetry_Int_Tables_number 123
_symmetry_space_group_name_Hall '-P 4 2'
_cell_length_a 4.497
_cell_length_b 4.497
_cell_length_c 4.409
_cell_angle_alpha 90.00
_cell_angle_beta 90.00
_cell_angle_gamma 90.00
loop_
_atom_site_label
_atom_site_type_symbol
_atom_site_fract_x
_atom_site_fract_y
_atom_site_fract_z
_atom_site_occupancy
Hf1 Hf 0.000 0.500 0.000 1
B1 B 0.000 0.000 0.000 1
Sb1 Sb 0.000 0.000 0.500 1
Ru1 Ru 0.500 0.500 0.500 1
```

Results
- volume (Å³ per atom) = 17.84
- formation energy without anion corrections (kcal/mol of atoms) = 4.6

=====

Entry 10:
The following is a DFT calculation (GGA-PBE) of crystalline TbPaAs2Rh5 at its relaxed geometry.

Cell and atoms, written as CIF:
```
data_TbPaAs2Rh5
_symmetry_space_group_name_H-M 'P 4/m m m'
_symmetry_Int_Tables_number 123
_symmetry_space_group_name_Hall '-P 4 2'
_cell_length_a 3.994
_cell_length_b 3.994
_cell_length_c 12.567
_cell_angle_alpha 90.00
_cell_angle_beta 90.00
_cell_angle_gamma 90.00
loop_
_atom_site_label
_atom_site_type_symbol
_atom_site_fract_x
_atom_site_fract_y
_atom_site_fract_z
_atom_site_occupancy
Tb1 Tb 0.000 0.000 0.000 1
Pa1 Pa 0.500 0.500 0.500 1
As1 As 0.500 0.500 0.276 1
Rh1 Rh 0.000 0.500 0.168 1
Rh2 Rh 0.500 0.500 0.000 1
```

Results
- energy relative to the elements (eV/atom) = -0.12
- volume (Å³ per atom) = 22.27